The following is a DFT calculation (GGA-PBE) of crystalline Tl7In2Sn3 at its relaxed geometry.

## Properties
Total energy, eV/f.u.: -33.442
Calculated density, g cm⁻³: 9.4
Formation energy from the elements, meV per atom: 51

Structure (CIF):
```
data_Tl7In2Sn3
_chemical_formula_sum 'Tl7 In2 Sn3'
_space_group_name_H-M_alt 'P 1'
_space_group_IT_number 1
_cell_length_a 6.5473
_cell_length_b 3.3178
_cell_length_c 16.4509
_cell_angle_alpha 90.00
_cell_angle_beta 93.29
_cell_angle_gamma 90.00
loop_
_space_group_symop_operation_xyz
'x,y,z'
loop_
_atom_site_label
_atom_site_fract_x
_atom_site_fract_y
_atom_site_fract_z
Tl1 0.0000 0.0000 0.0000
Tl2 0.2294 0.5000 0.1715
Tl3 0.2511 0.5000 0.4919
Tl4 0.2766 0.0000 0.8350
Tl5 0.7234 0.0000 0.1650
Tl6 0.7489 0.5000 0.5081
Tl7 0.7706 0.5000 0.8285
In1 0.0574 0.5000 0.6708
In2 0.9426 0.5000 0.3292
Sn1 0.4706 0.0000 0.3368
Sn2 0.5000 0.5000 0.0000
Sn3 0.5294 0.0000 0.6632
```